(1)
The following is a DFT calculation (PBE) of a relaxed structure of Pm2HoBi.

Calculated values
The energy relative to the lowest polymorph listed for this composition comes out at 6 meV per atom. As for the formation energy: -1.55 eV per formula unit. The total energy is -19.51 eV/f.u. As for the space-group type: No. 123. The total magnetization is 0.0 μB/f.u. Its crystal system is tetragonal.

Cell lengths 4.9142, 4.9142, 4.9626 Å; angles 90.00, 90.00, 90.00 degrees
With the nearest neighbours (Å) after each atom.
Fractional coordinates of all 4 atoms:
Pm 0.0000 0.5000 0.0000  4 Pm 3.47, 4 Ho 3.49, 4 Bi 3.49
Pm 0.5000 0.0000 0.0000  4 Pm 3.47, 4 Ho 3.49, 4 Bi 3.49
Ho 0.0000 0.0000 0.5000  4 Bi 3.47, 8 Pm 3.49
Bi 0.5000 0.5000 0.5000  4 Ho 3.47, 8 Pm 3.49


(2)
The following is a DFT calculation (PBE) of a relaxed structure of LiLa3Tc.

Calculated values
The energy relative to the lowest polymorph listed for this composition comes out at 42 meV per atom. As for the formation energy: 0.28 eV per formula unit. The total energy is -26.79 eV/f.u. As for the space-group type: No. 221. The total magnetization is 0.0 μB/f.u. Its crystal system is cubic.

Cell lengths 5.5500, 5.5500, 5.5500 Å; angles 90.00, 90.00, 90.00 degrees
With the nearest neighbours (Å) after each atom.
Fractional coordinates of all 5 atoms:
Li 0.0000 0.0000 0.0000  12 La 3.92
La 0.0000 0.5000 0.5000  2 Tc 2.77
La 0.5000 0.0000 0.5000  2 Tc 2.77
La 0.5000 0.5000 0.0000  2 Tc 2.77
Tc 0.5000 0.5000 0.5000  6 La 2.77


(3)
The following is a DFT calculation (PBE) of a relaxed structure of PmNdSc2.

Calculated values
The energy relative to the lowest polymorph listed for this composition comes out at 27 meV per atom. As for the formation energy: 0.31 eV per formula unit. The total energy is -21.88 eV/f.u. As for the space-group type: No. 225. The total magnetization is 0.0 μB/f.u. Its crystal system is cubic.

Cell lengths 7.7775, 7.7775, 7.7775 Å; angles 90.00, 90.00, 90.00 degrees
With the nearest neighbours (Å) after each atom.
Fractional coordinates of all 16 atoms:
Pm 0.0000 0.0000 0.0000  8 Sc 3.37
Pm 0.0000 0.5000 0.5000  8 Sc 3.37
Pm 0.5000 0.0000 0.5000  8 Sc 3.37
Pm 0.5000 0.5000 0.0000  8 Sc 3.37
Nd 0.0000 0.0000 0.5000  8 Sc 3.37
Nd 0.0000 0.5000 0.0000  8 Sc 3.37
Nd 0.5000 0.0000 0.0000  8 Sc 3.37
Nd 0.5000 0.5000 0.5000  8 Sc 3.37
Sc 0.2500 0.2500 0.2500  4 Pm 3.37, 4 Nd 3.37
Sc 0.2500 0.2500 0.7500  4 Nd 3.37, 4 Pm 3.37
Sc 0.2500 0.7500 0.2500  4 Nd 3.37, 4 Pm 3.37
Sc 0.2500 0.7500 0.7500  4 Pm 3.37, 4 Nd 3.37
Sc 0.7500 0.2500 0.2500  4 Nd 3.37, 4 Pm 3.37
Sc 0.7500 0.2500 0.7500  4 Pm 3.37, 4 Nd 3.37
Sc 0.7500 0.7500 0.2500  4 Nd 3.37, 4 Pm 3.37
Sc 0.7500 0.7500 0.7500  4 Nd 3.37, 4 Pm 3.37


(4)
The following is a DFT calculation (PBE) of a relaxed structure of Ca2SmGa6.

Calculated values
The energy relative to the lowest polymorph listed for this composition comes out at 172 meV per atom. As for the formation energy: -3.33 eV per formula unit. The total energy is -30.21 eV/f.u. As for the space-group type: No. 71. The total magnetization is 0.0 μB/f.u. Its crystal system is orthorhombic.

Cell lengths 7.8605, 7.8605, 7.8605 Å; angles 148.37, 124.11, 65.66 degrees
With the nearest neighbours (Å) after each atom.
Fractional coordinates of all 9 atoms:
Ca 0.1272 0.1272 0.0000  6 Ga 2.87-3.05
Ca 0.8728 0.8728 0.0000  6 Ga 2.87-3.05
Sm 0.5000 0.0000 0.5000  12 Ga 3.15-3.49
Ga 0.1343 0.3188 0.8155  2 Ga 2.57-2.72, 1 Ca 2.87
Ga 0.1869 0.5000 0.6869  3 Ga 2.57-2.75
Ga 0.4967 0.6812 0.8155  2 Ga 2.57-2.72, 1 Ca 2.87
Ga 0.5033 0.3188 0.1845  2 Ga 2.57-2.72, 1 Ca 2.87
Ga 0.8131 0.5000 0.3131  3 Ga 2.57-2.75
Ga 0.8657 0.6812 0.1845  2 Ga 2.57-2.72, 1 Ca 2.87


Density of states at the Fermi level: 4.24; 5.48; 25.48; 3.25 (states/eV per cell)